[1]
DFT (PBE-GGA) results for BeNiAs after structural relaxation.

As for the calculated volume: 37 Å³/f.u. The relative energy among the computed polymorphs comes out at 338.2 meV per atom. The calculation puts the formation energy at 0.09 eV per atom.

The structure belongs to space group P3m1 (No. 156); the cell edges are 2.8074, 2.8074 and 5.4828 Å and the angles 90.00°, 90.00° and 120.00°. The inequivalent atoms are Be at (0.0000, 0.0000, 0.0000), Ni at (0.3333, 0.6667, 0.2907) and As at (0.6667, 0.3333, 0.6342).

[2]
DFT (PBE-GGA) results for Pr2Nd7Dy2 after structural relaxation.

As for the calculated volume: 384 Å³/f.u. The relative energy among the computed polymorphs comes out at 0.0 meV per atom. The calculation puts the formation energy at 0.07 eV per atom.

The structure belongs to space group P-1 (No. 2); the cell edges are 6.5040, 8.6096 and 13.9504 Å and the angles 96.90°, 93.86° and 96.85°. The inequivalent atoms are Pr at (0.1353, 0.2320, 0.0210), Pr at (0.2542, 0.4787, 0.5398), Nd at (0.1008, 0.8129, 0.6420), Nd at (0.1291, 0.4885, 0.8217), Nd at (0.3551, 0.3924, 0.2665), Nd at (0.3566, 0.6390, 0.0693), Nd at (0.3630, 0.9100, 0.8859), Nd at (0.3764, 0.1853, 0.7099), Nd at (0.3906, 0.1302, 0.4455), Dy at (0.1364, 0.7586, 0.3897) and Dy at (0.1453, 0.9603, 0.1962).

[3]
DFT (PBE-GGA) results for PaGa4Cu3O12 after structural relaxation.

As for the calculated volume: 205 Å³/f.u. For the formation energy from raw total energies, the calculation gives -1.61 eV per atom.

The structure belongs to space group Im-3 (No. 204); the cell edges are 7.4314, 7.4314 and 7.4314 Å and the angles 90.00°, 90.00° and 90.00°. The inequivalent atoms are Pa at (0.0000, 0.0000, 0.0000), Ga at (0.2500, 0.2500, 0.2500), Cu at (0.0000, 0.0000, 0.5000) and O at (0.0000, 0.1669, 0.2959).

[4]
DFT (PBE-GGA) results for Sm3Pu2N4 after structural relaxation.

As for the calculated volume: 159 Å³/f.u. For the formation energy from raw total energies, the calculation gives -1.20 eV per atom.

The structure belongs to space group C2/m (No. 12); the cell edges are 11.8437, 3.5190 and 8.7826 Å and the angles 90.00°, 119.91° and 90.00°. The inequivalent atoms are Sm at (0.0000, 0.0000, 0.0000), Sm at (0.2044, 0.0000, 0.8085), Pu at (0.1030, 0.5000, 0.3913), N at (0.1019, 0.5000, 0.8982) and N at (0.1950, 0.0000, 0.3145).

[5]
DFT (PBE-GGA) results for PaAgSnO6 after structural relaxation.

As for the calculated volume: 127 Å³/f.u. For the formation energy from raw total energies, the calculation gives -1.80 eV per atom.

The structure belongs to space group P4_2nm (No. 102); the cell edges are 5.0175, 5.0175 and 10.0750 Å and the angles 90.00°, 90.00° and 90.00°. The inequivalent atoms are Pa at (0.0000, 0.0000, 0.0000), Ag at (0.0000, 0.0000, 0.3310), Sn at (0.0000, 0.0000, 0.6644), O at (0.1868, 0.1868, 0.8264), O at (0.1909, 0.1909, 0.5069) and O at (0.2040, 0.2040, 0.1591).

[6]
DFT (PBE-GGA) results for Ba2NaSn2 after structural relaxation.

As for the calculated volume: 222 Å³/f.u. The relative energy among the computed polymorphs comes out at 270.1 meV per atom. The calculation puts the formation energy at -0.24 eV per atom.

The structure belongs to space group I4/mmm (No. 139); the cell edges are 6.8649, 6.8649 and 9.4102 Å and the angles 90.00°, 90.00° and 90.00°. The inequivalent atoms are Ba at (0.0000, 0.5000, 0.2500), Na at (0.0000, 0.0000, 0.0000) and Sn at (0.0000, 0.0000, 0.3486).

no.,electronic total energy (eV/atom)
1,-4.63
2,-4.67
3,-6.28
4,-9.66
5,-6.92
6,-2.88